Record 1
This record from the Alexandria database describes a geometry-optimized LiMgIr2 structure. The functional is PBE.

- Energy of formation from the pure elements: -0.238 eV/atom
- DOS(E_F): 0.41 states/eV per atom
- Electronic total energy: -5.5460 eV per atom
- Symmetry: Pmm2 (25)

Lattice parameters (Å, degrees): 2.8265 4.4996 4.5594 90.00 90.00 90.00
Fractional coordinates of all 4 atoms:
1 Li 0.0000 0.0000 0.0000
2 Mg 0.5000 0.5000 0.8793
3 Ir 0.0000 0.5000 0.3765
4 Ir 0.5000 0.0000 0.4887

---

Record 2
This record from the Alexandria database describes a geometry-optimized La2Co6C structure. The functional is PBE.

- Energy of formation from the pure elements: 0.127 eV/atom
- DOS(E_F): 1.32 states/eV per atom
- Electronic total energy: -6.7304 eV per atom
- Symmetry: P-3m1 (164)

Lattice parameters (Å, degrees): 5.7623 5.7623 4.5949 90.00 90.00 120.00
Fractional coordinates of all 9 atoms:
1 La 0.3333 0.6667 0.2630
2 La 0.6667 0.3333 0.7370
3 Co 0.1460 0.2920 0.7641
4 Co 0.1460 0.8540 0.7641
5 Co 0.2920 0.1460 0.2359
6 Co 0.7080 0.8540 0.7641
7 Co 0.8540 0.1460 0.2359
8 Co 0.8540 0.7080 0.2359
9 C 0.0000 0.0000 0.5000